[1]
Density functional theory data (PBE-GGA) for crystalline MoPIr2 at its relaxed geometry.

Cell: 8.474 8.474 8.474 Å, 19.17 19.17 19.17°
Sites, in units of the cell vectors:
Mo 0.000 0.000 0.000
P 0.500 0.500 0.500
Ir 0.242 0.242 0.242
Ir 0.758 0.758 0.758

symmetry = R-3m
calculated formation energy = -107 meV/atom
D(E_F) = 0.9141 states/eV per atom
magnetization = 0.00 Bohr magnetons per cell

[2]
Density functional theory data (PBE-GGA) for crystalline LiAc2Hg12 at its relaxed geometry.

Cell: 6.840 6.840 17.471 Å, 90.00 90.00 90.00°
Sites, in units of the cell vectors:
Li 0.250 0.750 0.000
Li 0.750 0.250 0.000
Ac 0.250 0.750 0.244
Ac 0.250 0.750 0.756
Ac 0.750 0.250 0.244
Ac 0.750 0.250 0.756
Hg 0.001 0.501 0.084
Hg 0.001 0.999 0.916
Hg 0.093 0.593 0.430
Hg 0.093 0.907 0.570
Hg 0.250 0.250 0.184
Hg 0.250 0.250 0.346
Hg 0.250 0.250 0.654
Hg 0.250 0.250 0.816
Hg 0.407 0.593 0.570
Hg 0.407 0.907 0.430
Hg 0.499 0.501 0.916
Hg 0.499 0.999 0.084
Hg 0.501 0.001 0.916
Hg 0.501 0.499 0.084
Hg 0.593 0.093 0.570
Hg 0.593 0.407 0.430
Hg 0.750 0.750 0.184
Hg 0.750 0.750 0.346
Hg 0.750 0.750 0.654
Hg 0.750 0.750 0.816
Hg 0.907 0.093 0.430
Hg 0.907 0.407 0.570
Hg 0.999 0.001 0.084
Hg 0.999 0.499 0.916

symmetry = P4/nbm
calculated formation energy = -190 meV/atom
D(E_F) = 0.5937 states/eV per atom
magnetization = 0.00 Bohr magnetons per cell

[3]
Density functional theory data (PBE-GGA) for crystalline Sm2TlCl7 at its relaxed geometry.

Cell: 8.166 8.166 5.402 Å, 90.00 90.00 115.91°
Sites, in units of the cell vectors:
Sm 0.197 0.803 0.000
Sm 0.803 0.197 0.000
Tl 0.500 0.500 0.500
Cl 0.000 0.000 0.000
Cl 0.174 0.450 0.000
Cl 0.211 0.789 0.500
Cl 0.450 0.174 0.000
Cl 0.550 0.826 0.000
Cl 0.789 0.211 0.500
Cl 0.826 0.550 0.000

raw formation energy = -2.014 eV/atom
symmetry = Cmmm
D(E_F) = 0.0000 states/eV per atom
magnetization = 0.00 Bohr magnetons per cell

[4]
Density functional theory data (PBE-GGA) for crystalline Ca2ZrZn at its relaxed geometry.

Cell: 3.989 5.015 5.198 Å, 90.00 90.00 90.00°
Sites, in units of the cell vectors:
Ca 0.000 0.000 0.000
Ca 0.500 0.500 0.000
Zr 0.000 0.500 0.500
Zn 0.500 0.000 0.500

symmetry = Pmmm
calculated formation energy = 273 meV/atom
D(E_F) = 1.0891 states/eV per atom
magnetization = 0.26 Bohr magnetons per cell

For each record above, in turn, the calculated uncorrected energy values are -8.598 -1.107 -4.488 -3.183 eV per atom.